Run a
## Tl2V2Cl (PBE-GGA)

Data for crystalline Tl2V2Cl at its relaxed geometry.

abc: 3.442 3.442 9.635
angles: 79.71 79.71 90.00
Fractional coordinates of all 5 atoms:
Cl  0.000  0.000  0.000
Tl  0.613  0.613  0.773
Tl  0.387  0.387  0.227
V  0.750  0.250  0.500
V  0.250  0.750  0.500

**V**: 110 Å³/f.u.
**M_tot**: 0.005 Bohr magnetons per cell

Run b
## Tl2V2Cl (PBE-GGA)

Data for crystalline Tl2V2Cl at its relaxed geometry.

abc: 8.383 8.383 3.263
angles: 90.00 90.00 90.00
Each line ends with the local moment (μB).
Fractional coordinates of all 10 atoms:
Cl  0.500  0.500  0.000  0.00
Cl  0.000  0.000  0.000  0.00
Tl  0.285  0.785  0.000  0.00
Tl  0.715  0.215  0.000  0.00
Tl  0.785  0.715  0.000  0.00
Tl  0.215  0.285  0.000  0.00
V  0.578  0.922  0.500  0.12
V  0.422  0.078  0.500  0.12
V  0.078  0.578  0.500  0.12
V  0.922  0.422  0.500  0.12

**V**: 115 Å³/f.u.
**M_tot**: 0.551 Bohr magnetons per cell

Most favorable structure: run b. The second most favorable one is 40 meV/atom above it.